First-principles (PBE) data for a relaxed Ce2ZrTl crystal, as listed in the Alexandria database.

a b c (Å): 4.123 4.123 6.483
angles (deg): 90.00 90.00 90.00
Atoms (fractional coordinates):
Ce 0.000 0.000 0.236
Ce 0.000 0.000 0.764
Zr 0.500 0.500 0.500
Tl 0.500 0.500 0.000

* total magnetization: 2.71 Bohr magnetons per cell
* ΔH_f (0 K): 0.055 eV/atom
* D(E_F): 10.863 states/eV/cell
* raw total energy: -5.640 eV per atom



First-principles (PBE) data for a relaxed CeZrTl crystal, as listed in the Alexandria database.

a b c (Å): 5.184 5.184 3.203
angles (deg): 90.00 90.00 120.00
Atoms (fractional coordinates):
Ce 0.000 0.000 0.000
Zr 0.667 0.333 0.000
Tl 0.333 0.667 0.500

* total magnetization: 1.04 Bohr magnetons per cell
* ΔH_f (0 K): 0.165 eV/atom
* D(E_F): 6.368 states/eV/cell
* raw total energy: -5.451 eV per atom



First-principles (PBE) data for a relaxed Ce2ZrTl crystal, as listed in the Alexandria database.

a b c (Å): 4.272 4.249 11.381
angles (deg): 90.00 99.42 90.00
Atoms (fractional coordinates):
Ce 0.012 0.250 0.123
Ce 0.403 0.250 0.882
Ce 0.597 0.750 0.118
Ce 0.988 0.750 0.877
Zr 0.301 0.750 0.603
Zr 0.699 0.250 0.397
Tl 0.182 0.750 0.342
Tl 0.818 0.250 0.658

* total magnetization: 0.00 Bohr magnetons per cell
* ΔH_f (0 K): 0.030 eV/atom
* D(E_F): 14.970 states/eV/cell
* raw total energy: -5.665 eV per atom



First-principles (PBE) data for a relaxed CeZrTl2 crystal, as listed in the Alexandria database.

a b c (Å): 4.776 4.776 4.546
angles (deg): 90.00 90.00 90.00
Atoms (fractional coordinates):
Ce 0.000 0.000 0.000
Zr 0.500 0.500 0.000
Tl 0.000 0.500 0.500
Tl 0.500 0.000 0.500

* total magnetization: 1.58 Bohr magnetons per cell
* ΔH_f (0 K): -0.068 eV/atom
* D(E_F): 7.282 states/eV/cell
* raw total energy: -4.872 eV per atom



First-principles (PBE) data for a relaxed Ce2ZrTl crystal, as listed in the Alexandria database.

a b c (Å): 5.356 5.356 5.356
angles (deg): 60.00 60.00 60.00
Atoms (fractional coordinates):
Ce 0.250 0.250 0.250
Ce 0.750 0.750 0.750
Zr 0.000 0.000 0.000
Tl 0.500 0.500 0.500

* total magnetization: 0.00 Bohr magnetons per cell
* ΔH_f (0 K): 0.094 eV/atom
* D(E_F): 10.738 states/eV/cell
* raw total energy: -5.602 eV per atom



First-principles (PBE) data for a relaxed Ce2ZrTl crystal, as listed in the Alexandria database.

a b c (Å): 4.471 4.471 5.070
angles (deg): 90.00 90.00 90.00
Atoms (fractional coordinates):
Ce 0.000 0.500 0.000
Ce 0.500 0.000 0.000
Zr 0.000 0.000 0.500
Tl 0.500 0.500 0.500

* total magnetization: 0.01 Bohr magnetons per cell
* ΔH_f (0 K): -0.089 eV/atom
* D(E_F): 9.926 states/eV/cell
* raw total energy: -5.785 eV per atom



First-principles (PBE) data for a relaxed Ce2ZrTl crystal, as listed in the Alexandria database.

a b c (Å): 11.941 11.941 11.941
angles (deg): 15.36 15.36 15.36
Atoms (fractional coordinates):
Ce 0.084 0.084 0.084
Ce 0.916 0.916 0.916
Zr 0.000 0.000 0.000
Tl 0.500 0.500 0.500

* total magnetization: 0.71 Bohr magnetons per cell
* ΔH_f (0 K): 0.168 eV/atom
* D(E_F): 8.810 states/eV/cell
* raw total energy: -5.527 eV per atom



First-principles (PBE) data for a relaxed CeZrTl crystal, as listed in the Alexandria database.

a b c (Å): 7.734 7.734 7.734
angles (deg): 155.93 155.93 34.29
Atoms (fractional coordinates):
Ce 0.000 0.000 0.000
Zr 0.333 0.333 0.000
Tl 0.675 0.675 0.000

* total magnetization: 0.00 Bohr magnetons per cell
* ΔH_f (0 K): -0.041 eV/atom
* D(E_F): 5.717 states/eV/cell
* raw total energy: -5.657 eV per atom



First-principles (PBE) data for a relaxed CeZrTl crystal, as listed in the Alexandria database.

a b c (Å): 5.649 5.649 8.398
angles (deg): 107.97 107.97 36.01
Atoms (fractional coordinates):
Ce 0.178 0.178 0.064
Ce 0.822 0.822 0.936
Zr 0.165 0.165 0.583
Zr 0.835 0.835 0.417
Tl 0.483 0.483 0.731
Tl 0.517 0.517 0.269

* total magnetization: 0.26 Bohr magnetons per cell
* ΔH_f (0 K): -0.091 eV/atom
* D(E_F): 9.045 states/eV/cell
* raw total energy: -5.707 eV per atom



First-principles (PBE) data for a relaxed CeZrTl crystal, as listed in the Alexandria database.

a b c (Å): 5.980 5.980 5.980
angles (deg): 120.32 114.21 94.89
Atoms (fractional coordinates):
Ce 0.000 0.000 0.000
Ce 0.500 0.000 0.500
Zr 0.500 0.000 0.000
Zr 0.500 0.500 0.500
Tl 0.135 0.385 0.750
Tl 0.865 0.615 0.250

* total magnetization: 0.43 Bohr magnetons per cell
* ΔH_f (0 K): 0.210 eV/atom
* D(E_F): 11.816 states/eV/cell
* raw total energy: -5.406 eV per atom



First-principles (PBE) data for a relaxed CeTm4 crystal, as listed in the Alexandria database.

a b c (Å): 5.460 5.460 5.460
angles (deg): 90.00 90.00 90.00
Atoms (fractional coordinates):
Ce 0.000 0.000 0.000
Tm 0.000 0.000 0.500
Tm 0.000 0.500 0.000
Tm 0.500 0.000 0.000
Tm 0.500 0.500 0.500

* total magnetization: 0.65 Bohr magnetons per cell
* ΔH_f (0 K): 0.671 eV/atom
* D(E_F): 10.995 states/eV/cell
* raw total energy: -4.093 eV per atom



First-principles (PBE) data for a relaxed CeTm2 crystal, as listed in the Alexandria database.

a b c (Å): 7.800 7.800 7.800
angles (deg): 154.19 154.19 36.82
Atoms (fractional coordinates):
Ce 0.000 0.000 0.000
Tm 0.335 0.335 0.000
Tm 0.665 0.665 0.000

* total magnetization: 0.78 Bohr magnetons per cell
* ΔH_f (0 K): 0.072 eV/atom
* D(E_F): 6.535 states/eV/cell
* raw total energy: -4.887 eV per atom



First-principles (PBE) data for a relaxed CeTm3 crystal, as listed in the Alexandria database.

a b c (Å): 3.544 5.612 6.116
angles (deg): 90.00 90.00 90.00
Atoms (fractional coordinates):
Ce 0.000 0.000 0.000
Tm 0.000 0.500 0.336
Tm 0.500 0.000 0.507
Tm 0.500 0.500 0.841

* total magnetization: 0.88 Bohr magnetons per cell
* ΔH_f (0 K): 0.066 eV/atom
* D(E_F): 9.395 states/eV/cell
* raw total energy: -4.771 eV per atom



First-principles (PBE) data for a relaxed CeTm3 crystal, as listed in the Alexandria database.

a b c (Å): 3.392 3.392 11.684
angles (deg): 90.00 90.00 115.95
Atoms (fractional coordinates):
Ce 0.000 0.000 0.000
Tm 0.000 0.000 0.500
Tm 0.500 0.500 0.253
Tm 0.500 0.500 0.747

* total magnetization: 1.44 Bohr magnetons per cell
* ΔH_f (0 K): 0.153 eV/atom
* D(E_F): 9.769 states/eV/cell
* raw total energy: -4.684 eV per atom



First-principles (PBE) data for a relaxed CeTm4 crystal, as listed in the Alexandria database.

a b c (Å): 6.640 6.640 6.640
angles (deg): 94.73 94.73 146.62
Atoms (fractional coordinates):
Ce 0.000 0.000 0.000
Tm 0.186 0.389 0.575
Tm 0.389 0.814 0.203
Tm 0.611 0.186 0.797
Tm 0.814 0.611 0.425

* total magnetization: 1.12 Bohr magnetons per cell
* ΔH_f (0 K): 0.145 eV/atom
* D(E_F): 10.629 states/eV/cell
* raw total energy: -4.619 eV per atom



First-principles (PBE) data for a relaxed CeTm3 crystal, as listed in the Alexandria database.

a b c (Å): 5.582 5.582 5.582
angles (deg): 60.00 60.00 60.00
Atoms (fractional coordinates):
Ce 0.000 0.000 0.000
Tm 0.250 0.250 0.250
Tm 0.500 0.500 0.500
Tm 0.750 0.750 0.750

* total magnetization: 0.86 Bohr magnetons per cell
* ΔH_f (0 K): 0.149 eV/atom
* D(E_F): 8.404 states/eV/cell
* raw total energy: -4.688 eV per atom



First-principles (PBE) data for a relaxed CeTm3 crystal, as listed in the Alexandria database.

a b c (Å): 6.620 6.620 6.620
angles (deg): 148.81 64.57 125.02
Atoms (fractional coordinates):
Ce 0.000 0.000 0.000
Tm 0.408 0.657 0.751
Tm 0.491 0.991 0.500
Tm 0.906 0.657 0.249

* total magnetization: 0.95 Bohr magnetons per cell
* ΔH_f (0 K): 0.059 eV/atom
* D(E_F): 8.858 states/eV/cell
* raw total energy: -4.779 eV per atom



First-principles (PBE) data for a relaxed CeTm3 crystal, as listed in the Alexandria database.

a b c (Å): 6.041 6.041 6.041
angles (deg): 131.51 131.51 71.01
Atoms (fractional coordinates):
Ce 0.000 0.000 0.000
Tm 0.250 0.750 0.500
Tm 0.500 0.500 0.000
Tm 0.750 0.250 0.500

* total magnetization: 0.95 Bohr magnetons per cell
* ΔH_f (0 K): 0.082 eV/atom
* D(E_F): 8.853 states/eV/cell
* raw total energy: -4.755 eV per atom



First-principles (PBE) data for a relaxed CeTm4 crystal, as listed in the Alexandria database.

a b c (Å): 6.405 6.405 8.540
angles (deg): 105.59 105.59 64.81
Atoms (fractional coordinates):
Ce 0.199 0.801 0.000
Ce 0.801 0.199 0.000
Tm 0.147 0.655 0.602
Tm 0.201 0.201 0.781
Tm 0.310 0.310 0.221
Tm 0.345 0.853 0.398
Tm 0.655 0.147 0.602
Tm 0.690 0.690 0.779
Tm 0.799 0.799 0.219
Tm 0.853 0.345 0.398

* total magnetization: 1.16 Bohr magnetons per cell
* ΔH_f (0 K): 0.058 eV/atom
* D(E_F): 18.402 states/eV/cell
* raw total energy: -4.706 eV per atom



First-principles (PBE) data for a relaxed CeTm2 crystal, as listed in the Alexandria database.

a b c (Å): 3.395 3.395 17.986
angles (deg): 90.00 90.00 120.00
Atoms (fractional coordinates):
Ce 0.333 0.667 0.250
Ce 0.667 0.333 0.750
Tm 0.000 0.000 0.091
Tm 0.000 0.000 0.409
Tm 0.000 0.000 0.591
Tm 0.000 0.000 0.909

* total magnetization: 1.31 Bohr magnetons per cell
* ΔH_f (0 K): 0.175 eV/atom
* D(E_F): 14.031 states/eV/cell
* raw total energy: -4.784 eV per atom